Material: InGePt3
Method: DFT, GGA-PBE
State: relaxed

Summary:
Energy relative to the elements, eV/atom: 0.2669
E above lowest polymorph, kJ/mol of atoms: 56.6
Total moment, μB/cell: 0.00
E_tot, eV/f.u.: -24.14

a b c (Å): 4.6871 4.6871 4.6871
angles (deg): 90.00 90.00 90.00
Last column: nearest neighbours and their distance in Å.
Atoms (fractional coordinates):
Pt 0.5000 0.0000 0.0000  2 Ge 2.34
Pt 0.0000 0.5000 0.0000  2 Ge 2.34
Pt 0.0000 0.0000 0.5000  2 Ge 2.34
In 0.5000 0.5000 0.5000  12 Pt 3.31
Ge 0.0000 0.0000 0.0000  6 Pt 2.34

=====

Material: KNaIn2Ga
Method: DFT, GGA-PBE
State: relaxed

Summary:
Energy relative to the elements, eV/atom: 0.0599
Total moment, μB/cell: 0.00
E_tot, eV/f.u.: -10.62

a b c (Å): 5.5482 5.5482 5.6897
angles (deg): 90.00 90.00 90.00
Last column: nearest neighbours and their distance in Å.
Atoms (fractional coordinates):
Na 0.0000 0.0000 0.5000  2 Ga 2.84
In 0.0000 0.5000 0.0000  2 Ga 2.77
In 0.5000 0.0000 0.0000  2 Ga 2.77
K 0.5000 0.5000 0.5000  4 Na 3.92, 8 In 3.97
Ga 0.0000 0.0000 0.0000  4 In 2.77, 2 Na 2.84

=====

Material: CuAsPbBr2
Method: DFT, GGA-PBE
State: relaxed

Summary:
E above lowest polymorph, kJ/mol of atoms: 0.0
Total moment, μB/cell: 0.00
Energy relative to the elements, uncorrected, kJ/mol of formula units: 23
E_tot, eV/f.u.: -15.56

a b c (Å): 5.0304 5.0304 4.9827
angles (deg): 90.00 90.00 90.00
Last column: nearest neighbours and their distance in Å.
Atoms (fractional coordinates):
Br 0.5000 0.0000 0.0000  2 Cu 2.52
Br 0.0000 0.5000 0.0000  2 Cu 2.52
As 0.0000 0.0000 0.5000  2 Cu 2.49
Cu 0.0000 0.0000 0.0000  2 As 2.49, 4 Br 2.52
Pb 0.5000 0.5000 0.5000  8 Br 3.54, 4 As 3.56

=====

Material: LaHf2TaBr
Method: DFT, GGA-PBE
State: relaxed

Summary:
Total moment, μB/cell: 0.00
Energy relative to the elements, uncorrected, kJ/mol of formula units: 894
E_tot, eV/f.u.: -29.10

a b c (Å): 5.3251 4.9911 5.3251
angles (deg): 90.00 90.00 90.00
Last column: nearest neighbours and their distance in Å.
Atoms (fractional coordinates):
Br 0.5000 0.5000 0.5000  8 Hf 3.65, 4 Ta 3.77
La 0.0000 0.0000 0.0000  2 Ta 2.50, 4 Hf 2.66
Hf 0.0000 0.0000 0.5000  2 La 2.66
Hf 0.5000 0.0000 0.0000  2 La 2.66
Ta 0.0000 0.5000 0.0000  2 La 2.50

=====

Material: NdYCdRu
Method: DFT, GGA-PBE
State: relaxed

Summary:
Energy relative to the elements, eV/atom: -0.3129
E above lowest polymorph, kJ/mol of atoms: 0.0
Total moment, μB/cell: 0.00
E_tot, eV/f.u.: -22.67

a b c (Å): 3.5309 3.5309 7.7784
angles (deg): 90.00 90.00 90.00
Last column: nearest neighbours and their distance in Å.
Atoms (fractional coordinates):
Ru 0.0000 0.0000 0.5614  4 Y 2.98, 4 Nd 3.05
Y 0.5000 0.5000 0.3531  4 Ru 2.98, 4 Cd 3.26
Nd 0.5000 0.5000 0.7865  4 Ru 3.05, 1 Y 3.37, 4 Cd 3.40
Cd 0.0000 0.0000 0.0838  4 Y 3.26, 4 Nd 3.40, 4 Cd 3.53

=====

Material: Ca3TcRu
Method: DFT, GGA-PBE
State: relaxed

Summary:
Energy relative to the elements, eV/atom: 0.9324
E above lowest polymorph, kJ/mol of atoms: 0.0
Total moment, μB/cell: 3.05
E_tot, eV/f.u.: -20.98

a b c (Å): 5.3049 5.3049 5.3049
angles (deg): 90.00 90.00 90.00
Last column: nearest neighbours and their distance in Å.
Atoms (fractional coordinates):
Ca 0.0000 0.5000 0.0000  2 Ru 2.65
Ca 0.5000 0.0000 0.0000  2 Ru 2.65
Ca 0.0000 0.0000 0.5000  2 Ru 2.65
Tc 0.5000 0.5000 0.5000  12 Ca 3.75
Ru 0.0000 0.0000 0.0000  6 Ca 2.65

=====

Material: HoBeGaCu6
Method: DFT, GGA-PBE
State: relaxed

Summary:
Energy relative to the elements, eV/atom: 0.0829
Total moment, μB/cell: 0.00
E_tot, eV/f.u.: -35.16

a b c (Å): 6.1508 7.7577 7.4831
angles (deg): 121.22 114.27 90.00
Last column: nearest neighbours and their distance in Å.
Atoms (fractional coordinates):
Ga 0.5000 0.0000 0.5000  6 Cu 2.44-2.47
Ga 0.0000 0.0000 0.5000  6 Cu 2.44-2.47
Cu 0.0891 0.3777 0.7768  1 Be 2.23, 1 Ga 2.44, 1 Cu 2.47
Cu 0.3122 0.1008 0.2232  1 Be 2.23, 1 Ga 2.44, 1 Cu 2.47
Cu 0.9109 0.1008 0.2232  1 Be 2.23, 1 Ga 2.44, 1 Cu 2.47
Cu 0.5781 0.8281 0.1563  2 Be 2.13
Cu 0.6878 0.3777 0.7768  1 Be 2.23, 1 Ga 2.44, 1 Cu 2.47
Cu 0.9109 0.6223 0.2232  1 Be 2.23, 1 Ga 2.44, 1 Cu 2.47
Cu 0.4219 0.1719 0.8437  2 Be 2.13
Cu 0.6878 0.8992 0.7768  1 Be 2.23, 1 Ga 2.44, 1 Cu 2.47
Cu 0.0292 0.2792 0.0584  8 Cu 2.54-2.73
Cu 0.3122 0.6223 0.2232  1 Be 2.23, 1 Ga 2.44, 1 Cu 2.47
Cu 0.9708 0.7208 0.9416  8 Cu 2.54-2.73
Cu 0.0891 0.8992 0.7768  1 Be 2.23, 1 Ga 2.44, 1 Cu 2.47
Be 0.5000 0.0000 0.0000  6 Cu 2.13-2.23
Be 0.5000 0.5000 0.0000  6 Cu 2.13-2.23
Ho 0.7019 0.4519 0.4038  10 Cu 2.92-3.16, 2 Be 2.98, 2 Ho 3.26
Ho 0.2981 0.5481 0.5962  10 Cu 2.92-3.16, 2 Be 2.98, 2 Ho 3.26

=====

Material: CaSn2Sb
Method: DFT, GGA-PBE
State: relaxed

Summary:
Total moment, μB/cell: 0.00
Energy relative to the elements, uncorrected, kJ/mol of formula units: -102
E_tot, eV/f.u.: -15.19

a b c (Å): 8.7951 8.7951 6.9749
angles (deg): 50.91 50.91 90.00
Last column: nearest neighbours and their distance in Å.
Atoms (fractional coordinates):
Sb 0.7500 0.2500 0.5000  4 Sn 3.06, 2 Ca 3.16
Sb 0.0000 0.0000 0.0000  4 Sn 3.06, 2 Ca 3.16
Ca 0.2500 0.7500 0.5000  2 Sb 3.16, 4 Sn 3.37
Ca 0.5000 0.5000 0.0000  2 Sb 3.16, 4 Sn 3.37
Sn 0.6511 0.1250 0.2500  2 Sb 3.06, 2 Sn 3.19, 2 Ca 3.37
Sn 0.8750 0.9011 0.7500  2 Sb 3.06, 2 Sn 3.19, 2 Ca 3.37
Sn 0.0989 0.6250 0.2500  2 Sb 3.06, 2 Sn 3.19, 2 Ca 3.37
Sn 0.3750 0.3489 0.7500  2 Sb 3.06, 2 Sn 3.19, 2 Ca 3.37

=====

Material: NaCd3F6
Method: DFT, GGA-PBE
State: relaxed

Summary:
Total moment, μB/cell: 0.00
Energy relative to the elements, uncorrected, kJ/mol of formula units: -2037
E_tot, eV/f.u.: -36.40

a b c (Å): 5.9072 6.0279 8.6923
angles (deg): 90.00 91.48 90.00
Last column: nearest neighbours and their distance in Å.
Atoms (fractional coordinates):
Na 0.5000 0.5000 0.5000  4 F 2.23-2.37
Na 0.0000 0.0000 0.0000  4 F 2.23-2.37
F 0.8059 0.7003 0.6152  3 Cd 2.33-2.46, 1 Na 2.37
F 0.3479 0.5942 0.7591  3 Cd 2.33-2.35, 1 Na 2.51
F 0.1635 0.3294 0.0378  1 Na 2.23, 2 Cd 2.27-2.31
F 0.6521 0.4058 0.2409  3 Cd 2.33-2.35, 1 Na 2.51
F 0.6635 0.1706 0.5378  1 Na 2.23, 2 Cd 2.27-2.31
F 0.3059 0.7997 0.1152  3 Cd 2.33-2.46, 1 Na 2.37
F 0.1941 0.2997 0.3848  3 Cd 2.33-2.46, 1 Na 2.37
F 0.6941 0.2003 0.8848  3 Cd 2.33-2.46, 1 Na 2.37
F 0.1521 0.0942 0.7409  3 Cd 2.33-2.35, 1 Na 2.51
F 0.8365 0.6706 0.9622  1 Na 2.23, 2 Cd 2.27-2.31
F 0.8479 0.9058 0.2591  3 Cd 2.33-2.35, 1 Na 2.51
F 0.3365 0.8294 0.4622  1 Na 2.23, 2 Cd 2.27-2.31
Cd 0.0000 0.0000 0.5000  6 F 2.27-2.38
Cd 0.4851 0.0567 0.2765  6 F 2.31-2.57
Cd 0.0149 0.5567 0.2235  6 F 2.31-2.57
Cd 0.5149 0.9433 0.7235  6 F 2.31-2.57
Cd 0.5000 0.5000 0.0000  6 F 2.27-2.38
Cd 0.9851 0.4433 0.7765  6 F 2.31-2.57

=====

Material: NaU2CuS5
Method: DFT, GGA-PBE
State: relaxed

Summary:
Total moment, μB/cell: 8.00
Energy relative to the elements, uncorrected, kJ/mol of formula units: -1003
E_tot, eV/f.u.: -59.02

a b c (Å): 7.4970 7.4970 8.5438
angles (deg): 116.02 116.02 90.00
Last column: nearest neighbours and their distance in Å.
Atoms (fractional coordinates):
S 0.2215 0.0207 0.7422  1 Cu 2.27
S 0.7785 0.9793 0.2578  1 Cu 2.27
S 0.5000 0.5000 0.0000  4 U 2.82
S 0.0000 0.0000 0.0000  4 U 2.82
S 0.2785 0.7785 0.2578  1 Cu 2.27
S 0.9793 0.4793 0.2578  1 Cu 2.27
S 0.7215 0.2215 0.7422  1 Cu 2.27
S 0.4793 0.2785 0.2578  1 Cu 2.27
S 0.0207 0.5207 0.7422  1 Cu 2.27
S 0.5207 0.7215 0.7422  1 Cu 2.27
U 0.8406 0.6594 0.0000  8 S 2.66-2.89
U 0.1594 0.3406 0.0000  8 S 2.66-2.89
U 0.3406 0.8406 0.0000  8 S 2.66-2.89
U 0.6594 0.1594 0.0000  8 S 2.66-2.89
Cu 0.2500 0.7500 0.5000  4 S 2.27
Cu 0.7500 0.2500 0.5000  4 S 2.27
Na 0.2500 0.2500 0.5000  10 S 3.29-3.35
Na 0.7500 0.7500 0.5000  10 S 3.29-3.35

=====

Material: Cs2AlAuO4
Method: DFT, GGA-PBE
State: relaxed

Summary:
Total moment, μB/cell: 0.00
Energy relative to the elements, uncorrected, kJ/mol of formula units: -1107
E_tot, eV/f.u.: -40.04

a b c (Å): 5.7755 7.5264 10.9695
angles (deg): 84.20 74.74 67.44
Last column: nearest neighbours and their distance in Å.
Atoms (fractional coordinates):
Cs 0.8257 0.0000 0.3487  2 O 2.83
Cs 0.5757 0.5000 0.8487  2 O 2.83
Cs 0.1743 0.0000 0.6513  2 O 2.83
Cs 0.9243 0.5000 0.1513  2 O 2.83
O 0.8736 0.8183 0.9858  1 Al 1.82
O 0.0724 0.3183 0.4858  1 Al 1.82
O 0.8764 0.6817 0.5142  1 Al 1.82
O 0.6776 0.1817 0.0142  1 Al 1.82
O 0.4418 0.6817 0.4858  1 Al 1.82
O 0.6093 0.3183 0.5142  1 Al 1.82
O 0.3082 0.8183 0.0142  1 Al 1.82
O 0.1407 0.1817 0.9858  1 Al 1.82
Al 0.0000 0.0000 0.0000  4 O 1.82
Al 0.7500 0.5000 0.5000  4 O 1.82
Au 0.5000 0.0000 0.0000  4 O 2.04
Au 0.2500 0.5000 0.5000  4 O 2.04

=====

- Which of these has the highest E_tot?
  KNaIn2Ga